# GGA-PBE CsZrMnS4, relaxed
# Uncorrected formation energy: -7.6 eV per formula unit
# DOS(E_F): 6.80 states/eV/cell
# Total DFT energy (no corrections): -6.1029 eV/atom
data_CsZrMnS4
_cell_length_a 6.297
_cell_length_b 6.617
_cell_length_c 9.357
_cell_angle_alpha 90.00
_cell_angle_beta 107.27
_cell_angle_gamma 90.00
_space_group_name_H-M_alt 'P 1 21/m 1'
_space_group_IT_number 11
_space_group_name_Hall '-P 2yb'
loop_
_atom_site_label
_atom_site_type_symbol
_atom_site_fract_x
_atom_site_fract_y
_atom_site_fract_z
Cs1 Cs 0.214 0.250 0.450
Zr1 Zr 0.334 0.750 0.049
Mn1 Mn 0.116 0.250 0.852
S1 S 0.084 0.250 0.079
S2 S 0.237 0.750 0.298
S3 S 0.346 0.503 0.824

=====

# GGA-PBE CsMnSb2, relaxed
# Uncorrected formation energy: 0.1 eV per formula unit
# DOS(E_F): 0.00 states/eV/cell
# Relative energy among the computed polymorphs: 0.627 eV/f.u.
# Total DFT energy (no corrections): -4.5492 eV/atom
data_CsMnSb2
_cell_length_a 7.188
_cell_length_b 7.188
_cell_length_c 12.401
_cell_angle_alpha 90.00
_cell_angle_beta 90.00
_cell_angle_gamma 90.00
_space_group_name_H-M_alt 'I 41/a m d'
_space_group_IT_number 141
loop_
_space_group_symop_operation_xyz
'x,y,z'
'-x,-y,-z'
'-y+1/4,x+3/4,z+1/4'
'y+1/4,-x+3/4,-z+1/4'
'-x+1/2,-y,z+1/2'
'x+1/2,y,-z+1/2'
'y+1/4,-x+1/4,z+3/4'
'-y+1/4,x+1/4,-z+3/4'
'x,-y,-z'
'-x,y,z'
'-y+1/4,-x+1/4,-z+3/4'
'y+1/4,x+1/4,z+3/4'
'-x+1/2,y,-z+1/2'
'x+1/2,-y,z+1/2'
'y+1/4,x+3/4,-z+1/4'
'-y+1/4,-x+3/4,z+1/4'
'x+1/2,y+1/2,z+1/2'
'-x+1/2,-y+1/2,-z+1/2'
'-y+3/4,x+1/4,z+3/4'
'y+3/4,-x+1/4,-z+3/4'
'-x,-y+1/2,z'
'x,y+1/2,-z'
'y+3/4,-x+3/4,z+1/4'
'-y+3/4,x+3/4,-z+1/4'
'x+1/2,-y+1/2,-z+1/2'
'-x+1/2,y+1/2,z+1/2'
'-y+3/4,-x+3/4,-z+1/4'
'y+3/4,x+3/4,z+1/4'
'-x,y+1/2,-z'
'x,-y+1/2,z'
'y+3/4,x+1/4,-z+3/4'
'-y+3/4,-x+1/4,z+3/4'
loop_
_atom_site_label
_atom_site_type_symbol
_atom_site_fract_x
_atom_site_fract_y
_atom_site_fract_z
Cs1 Cs 0.000 0.250 0.375
Mn1 Mn 0.000 0.250 0.875
Sb1 Sb 0.000 0.000 0.000